1.
DFT (PBE) results for a geometry-optimized Pm6Rh2Pb structure.

Output
SG: Immm (71)
Size of the total moment in μB per cell: 0.000
Formation energy in eV/atom: -0.509

abc: 8.7733 8.7733 8.7733
angles: 113.69 110.21 104.64
Closest atoms and distances in Å follow each position.
Sites, in units of the cell vectors:
Pm  0.0291  0.2328  0.7962  1 Rh 2.84
Pm  0.1810  0.2945  0.4756  3 Rh 3.04-3.24, 1 Pb 3.36
Pm  0.1810  0.7055  0.8865  3 Rh 3.04-3.24, 1 Pb 3.36
Pm  0.3290  0.0195  0.6905  3 Rh 2.78-3.05
Pm  0.3290  0.6385  0.3095  3 Rh 2.78-3.05
Pm  0.4366  0.2328  0.2038  1 Rh 2.84
Pm  0.5634  0.7672  0.7962  1 Rh 2.84
Pm  0.6710  0.3615  0.6905  3 Rh 2.78-3.05
Pm  0.6710  0.9805  0.3095  3 Rh 2.78-3.05
Pm  0.8190  0.2945  0.1135  3 Rh 3.04-3.24, 1 Pb 3.36
Pm  0.8190  0.7055  0.5244  3 Rh 3.04-3.24, 1 Pb 3.36
Pm  0.9709  0.7672  0.2038  1 Rh 2.84
Rh  0.1332  0.6332  0.5000  6 Pm 2.78-3.04, 1 Rh 2.86
Rh  0.3393  0.0000  0.3393  6 Pm 2.84-3.05
Rh  0.6607  0.0000  0.6607  6 Pm 2.84-3.05
Rh  0.8668  0.3668  0.5000  6 Pm 2.78-3.04, 1 Rh 2.86
Pb  0.0000  0.0000  0.0000  8 Pm 3.23-3.36, 2 Rh 3.41
Pb  0.5000  0.5000  0.0000  12 Pm 3.49-3.76

2.
DFT (PBE) results for a geometry-optimized PmRh5Pb structure.

Output
SG: Pnma (62)
Size of the total moment in μB per cell: 0.000
Formation energy in eV/atom: -0.298

abc: 8.6478 5.2811 11.0104
angles: 90.00 90.00 90.00
Closest atoms and distances in Å follow each position.
Sites, in units of the cell vectors:
Pm  0.2492  0.2500  0.0558  6 Rh 2.95-3.17
Pm  0.2508  0.7500  0.5558  6 Rh 2.95-3.17
Pm  0.7492  0.2500  0.4442  6 Rh 2.95-3.17
Pm  0.7508  0.7500  0.9442  6 Rh 2.95-3.17
Rh  0.0594  0.2500  0.5969  4 Rh 2.67-2.81, 1 Pb 2.70
Rh  0.0698  0.5010  0.8136  7 Rh 2.61-2.73, 1 Pb 2.86
Rh  0.0698  0.9990  0.8136  7 Rh 2.61-2.73, 1 Pb 2.86
Rh  0.1029  0.7500  0.0204  5 Rh 2.64-2.71, 1 Pb 2.94, 2 Pm 2.95
Rh  0.1827  0.7500  0.2524  7 Rh 2.61-2.81
Rh  0.3173  0.2500  0.7524  7 Rh 2.61-2.81
Rh  0.3971  0.2500  0.5204  5 Rh 2.64-2.71, 1 Pb 2.94, 2 Pm 2.95
Rh  0.4302  0.0010  0.3136  7 Rh 2.61-2.73, 1 Pb 2.86
Rh  0.4302  0.4990  0.3136  7 Rh 2.61-2.73, 1 Pb 2.86
Rh  0.4406  0.7500  0.0969  4 Rh 2.67-2.81, 1 Pb 2.70
Rh  0.5594  0.2500  0.9031  4 Rh 2.67-2.81, 1 Pb 2.70
Rh  0.5698  0.5010  0.6864  7 Rh 2.61-2.73, 1 Pb 2.86
Rh  0.5698  0.9990  0.6864  7 Rh 2.61-2.73, 1 Pb 2.86
Rh  0.6029  0.7500  0.4796  5 Rh 2.64-2.71, 1 Pb 2.94, 2 Pm 2.95
Rh  0.6827  0.7500  0.2476  7 Rh 2.61-2.81
Rh  0.8173  0.2500  0.7476  7 Rh 2.61-2.81
Rh  0.8971  0.2500  0.9796  5 Rh 2.64-2.71, 1 Pb 2.94, 2 Pm 2.95
Rh  0.9302  0.0010  0.1864  7 Rh 2.61-2.73, 1 Pb 2.86
Rh  0.9302  0.4990  0.1864  7 Rh 2.61-2.73, 1 Pb 2.86
Rh  0.9406  0.7500  0.4031  4 Rh 2.67-2.81, 1 Pb 2.70
Pb  0.1280  0.2500  0.3573  8 Rh 2.70-2.97
Pb  0.3720  0.7500  0.8573  8 Rh 2.70-2.97
Pb  0.6280  0.2500  0.1427  8 Rh 2.70-2.97
Pb  0.8720  0.7500  0.6427  8 Rh 2.70-2.97

3.
DFT (PBE) results for a geometry-optimized PmRhPb2 structure.

Output
SG: P4/mmm (123)
Size of the total moment in μB per cell: 0.000
Formation energy in eV/atom: -0.267
Polymorph energy (0 for the lowest one) in eV/atom: 0.156

abc: 4.5527 4.5527 4.6908
angles: 90.00 90.00 90.00
Closest atoms and distances in Å follow each position.
Sites, in units of the cell vectors:
Pm  0.0000  0.0000  0.0000  4 Rh 3.22, 8 Pb 3.27
Rh  0.5000  0.5000  0.0000  4 Pm 3.22, 8 Pb 3.27
Pb  0.0000  0.5000  0.5000  4 Pb 3.22, 4 Pm 3.27, 4 Rh 3.27
Pb  0.5000  0.0000  0.5000  4 Pb 3.22, 4 Pm 3.27, 4 Rh 3.27

4.
DFT (PBE) results for a geometry-optimized Pm3Rh4Pb4 structure.

Output
SG: P-1 (2)
Size of the total moment in μB per cell: 0.000
Formation energy in eV/atom: -0.405
Polymorph energy (0 for the lowest one) in eV/atom: 0.048

abc: 4.7637 4.9651 11.9114
angles: 84.00 80.94 67.82
Closest atoms and distances in Å follow each position.
Sites, in units of the cell vectors:
Pm  0.0000  0.0000  0.0000  2 Rh 2.96, 4 Pb 3.21-3.30
Pm  0.1136  0.0350  0.7099  3 Rh 2.92-3.16, 3 Pb 3.16-3.19
Pm  0.8864  0.9650  0.2901  3 Rh 2.92-3.16, 3 Pb 3.16-3.19
Rh  0.2609  0.2701  0.1450  4 Pb 2.82-3.01, 2 Pm 2.96-3.00
Rh  0.3027  0.7773  0.4883  2 Rh 2.70-2.89, 4 Pb 2.74-2.82, 1 Pm 2.92
Rh  0.6973  0.2227  0.5117  2 Rh 2.70-2.89, 4 Pb 2.74-2.82, 1 Pm 2.92
Rh  0.7391  0.7299  0.8550  4 Pb 2.82-3.01, 2 Pm 2.96-3.00
Pb  0.2055  0.3272  0.3938  5 Rh 2.74-2.97
Pb  0.3898  0.3742  0.8734  3 Rh 2.82-3.01
Pb  0.6102  0.6258  0.1266  3 Rh 2.82-3.01
Pb  0.7945  0.6728  0.6062  5 Rh 2.74-2.97

5.
DFT (PBE) results for a geometry-optimized PmRhPb2 structure.

Output
SG: R-3m (166)
Size of the total moment in μB per cell: 0.000
Formation energy in eV/atom: -0.339
Polymorph energy (0 for the lowest one) in eV/atom: 0.084

abc: 5.9349 5.9349 5.9349
angles: 46.18 46.18 46.18
Closest atoms and distances in Å follow each position.
Sites, in units of the cell vectors:
Pm  0.0000  0.0000  0.0000  6 Pb 3.17
Rh  0.5000  0.5000  0.5000  6 Pb 2.85
Pb  0.2271  0.2271  0.2271  3 Rh 2.85, 3 Pm 3.17
Pb  0.7729  0.7729  0.7729  3 Rh 2.85, 3 Pm 3.17

6.
DFT (PBE) results for a geometry-optimized PmRuRhPb structure.

Output
SG: F-43m (216)
Size of the total moment in μB per cell: 0.000
Formation energy in eV/atom: -0.264

abc: 4.8059 4.8059 4.8059
angles: 60.00 60.00 60.00
Closest atoms and distances in Å follow each position.
Sites, in units of the cell vectors:
Pm  0.0000  0.0000  0.0000  4 Rh 2.94, 4 Ru 2.94
Ru  0.2500  0.2500  0.2500  4 Pb 2.94, 4 Pm 2.94
Rh  0.7500  0.7500  0.7500  4 Pb 2.94, 4 Pm 2.94
Pb  0.5000  0.5000  0.5000  4 Rh 2.94, 4 Ru 2.94

7.
DFT (PBE) results for a geometry-optimized Pm2Sb3Rh4Pb structure.

Output
SG: P-4m2 (115)
Size of the total moment in μB per cell: 0.002
Raw formation energy in eV per atom: -0.687

abc: 4.4837 4.4837 10.8905
angles: 90.00 90.00 90.00
Closest atoms and distances in Å follow each position.
Sites, in units of the cell vectors:
Pm  0.0000  0.5000  0.2408  6 Sb 3.39-3.61, 8 Rh 3.44-3.45, 2 Pb 3.61
Pm  0.5000  0.0000  0.7592  6 Sb 3.39-3.61, 8 Rh 3.44-3.45, 2 Pb 3.61
Sb  0.0000  0.5000  0.8704  5 Rh 2.53-2.65
Sb  0.5000  0.0000  0.1296  5 Rh 2.53-2.65
Sb  0.5000  0.5000  0.5000  4 Rh 2.70
Rh  0.0000  0.0000  0.0000  4 Sb 2.65
Rh  0.0000  0.5000  0.6378  3 Sb 2.53-2.70, 2 Pb 2.70
Rh  0.5000  0.0000  0.3622  3 Sb 2.53-2.70, 2 Pb 2.70
Rh  0.5000  0.5000  0.0000  4 Sb 2.65
Pb  0.0000  0.0000  0.5000  4 Rh 2.70

8.
DFT (PBE) results for a geometry-optimized PmSmRhPb structure.

Output
SG: F-43m (216)
Size of the total moment in μB per cell: 0.000
Formation energy in eV/atom: -0.459

abc: 5.2664 5.2664 5.2664
angles: 60.00 60.00 60.00
Closest atoms and distances in Å follow each position.
Sites, in units of the cell vectors:
Pm  0.0000  0.0000  0.0000  4 Pb 3.23, 4 Rh 3.23
Sm  0.5000  0.5000  0.5000  4 Pb 3.23, 4 Rh 3.23
Rh  0.2500  0.2500  0.2500  4 Pm 3.23, 4 Sm 3.23
Pb  0.7500  0.7500  0.7500  4 Sm 3.23, 4 Pm 3.23

9.
DFT (PBE) results for a geometry-optimized SrPmRhPb structure.

Output
SG: F-43m (216)
Size of the total moment in μB per cell: 0.000
Formation energy in eV/atom: -0.317

abc: 5.3596 5.3596 5.3596
angles: 60.00 60.00 60.00
Closest atoms and distances in Å follow each position.
Sites, in units of the cell vectors:
Sr  0.0000  0.0000  0.0000  4 Pb 3.28, 4 Rh 3.28
Pm  0.5000  0.5000  0.5000  4 Rh 3.28, 4 Pb 3.28
Rh  0.7500  0.7500  0.7500  4 Pm 3.28, 4 Sr 3.28
Pb  0.2500  0.2500  0.2500  4 Pm 3.28, 4 Sr 3.28

10.
DFT (PBE) results for a geometry-optimized TbPmRhPb structure.

Output
SG: F-43m (216)
Size of the total moment in μB per cell: 0.000
Formation energy in eV/atom: -0.479

abc: 5.2257 5.2257 5.2257
angles: 60.00 60.00 60.00
Closest atoms and distances in Å follow each position.
Sites, in units of the cell vectors:
Tb  0.0000  0.0000  0.0000  4 Rh 3.20, 4 Pb 3.20
Pm  0.5000  0.5000  0.5000  4 Pb 3.20, 4 Rh 3.20
Rh  0.7500  0.7500  0.7500  4 Tb 3.20, 4 Pm 3.20
Pb  0.2500  0.2500  0.2500  4 Tb 3.20, 4 Pm 3.20